DFT (PBE-GGA) results for TiBiSeN2 after structural relaxation.

Computed properties:
E above lowest polymorph ... 0 meV per atom
E_form (uncorrected) ... 0.19 eV/atom
SG ... P4/mmm (123)
Volume ... 84.8 Å³/cell
DOS at the Fermi energy ... 0.35 states/eV/atom

Cell lengths 4.045, 4.045, 5.184 Å; angles 90.00, 90.00, 90.00 degrees
Fractional positions:
Ti (0.000, 0.000, 0.000)
Bi (0.500, 0.500, 0.500)
Se (0.000, 0.000, 0.500)
N (0.000, 0.500, 0.000)
N (0.500, 0.000, 0.000)

=====

DFT (PBE-GGA) results for TlFe2Ir after structural relaxation.

Computed properties:
E above lowest polymorph ... 62 meV per atom
SG ... F-43m (216)
Volume ... 244.9 Å³/cell
Formation energy from the elements ... 0.399 eV/atom
DOS at the Fermi energy ... 0.74 states/eV/atom

Cell lengths 6.256, 6.256, 6.256 Å; angles 90.00, 90.00, 90.00 degrees
Fractional positions:
Tl (0.000, 0.000, 0.000)
Tl (0.000, 0.500, 0.500)
Tl (0.500, 0.000, 0.500)
Tl (0.500, 0.500, 0.000)
Fe (0.000, 0.000, 0.500)
Fe (0.000, 0.500, 0.000)
Fe (0.250, 0.250, 0.750)
Fe (0.250, 0.750, 0.250)
Fe (0.500, 0.000, 0.000)
Fe (0.500, 0.500, 0.500)
Fe (0.750, 0.250, 0.250)
Fe (0.750, 0.750, 0.750)
Ir (0.250, 0.250, 0.250)
Ir (0.250, 0.750, 0.750)
Ir (0.750, 0.250, 0.750)
Ir (0.750, 0.750, 0.250)

=====

DFT (PBE-GGA) results for Pm2SmCd5 after structural relaxation.

Computed properties:
SG ... I4/mmm (139)
Volume ... 416.8 Å³/cell
Formation energy from the elements ... -0.316 eV/atom
DOS at the Fermi energy ... 0.66 states/eV/atom

Cell lengths 5.201, 5.201, 15.408 Å; angles 90.00, 90.00, 90.00 degrees
Fractional positions:
Pm (0.000, 0.000, 0.236)
Pm (0.000, 0.000, 0.764)
Pm (0.500, 0.500, 0.264)
Pm (0.500, 0.500, 0.736)
Sm (0.000, 0.000, 0.500)
Sm (0.500, 0.500, 0.000)
Cd (0.000, 0.000, 0.000)
Cd (0.000, 0.500, 0.117)
Cd (0.000, 0.500, 0.383)
Cd (0.000, 0.500, 0.617)
Cd (0.000, 0.500, 0.883)
Cd (0.500, 0.000, 0.117)
Cd (0.500, 0.000, 0.383)
Cd (0.500, 0.000, 0.617)
Cd (0.500, 0.000, 0.883)
Cd (0.500, 0.500, 0.500)

=====

DFT (PBE-GGA) results for NaTl2Ag2Cl6 after structural relaxation.

Computed properties:
E_form (uncorrected) ... -0.82 eV/atom
SG ... C2/m (12)
Volume ... 324.0 Å³/cell
DOS at the Fermi energy ... 0.96 states/eV/atom

Cell lengths 7.713, 7.713, 7.116 Å; angles 113.36, 113.36, 59.36 degrees
Fractional positions:
Na (0.000, 0.000, 0.000)
Tl (0.231, 0.231, 0.652)
Tl (0.769, 0.769, 0.348)
Ag (0.433, 0.433, 0.259)
Ag (0.567, 0.567, 0.741)
Cl (0.186, 0.667, 0.677)
Cl (0.229, 0.229, 0.072)
Cl (0.333, 0.814, 0.323)
Cl (0.667, 0.186, 0.677)
Cl (0.771, 0.771, 0.928)
Cl (0.814, 0.333, 0.323)

=====

DFT (PBE-GGA) results for KReSi after structural relaxation.

Computed properties:
E above lowest polymorph ... 737 meV per atom
E_form (uncorrected) ... 1.21 eV/atom
SG ... P-6m2 (187)
Volume ... 56.6 Å³/cell
DOS at the Fermi energy ... 0.72 states/eV/atom

Cell lengths 4.964, 4.964, 2.650 Å; angles 90.00, 90.00, 120.00 degrees
Fractional positions:
K (0.000, 0.000, 0.000)
Re (0.667, 0.333, 0.500)
Si (0.333, 0.667, 0.500)

=====

DFT (PBE-GGA) results for Ac2La3PmSe6 after structural relaxation.

Computed properties:
E_form (uncorrected) ... -1.92 eV/atom
SG ... C2/m (12)
Volume ... 348.4 Å³/cell
DOS at the Fermi energy ... 0.54 states/eV/atom

Cell lengths 7.537, 7.537, 7.528 Å; angles 99.64, 99.64, 120.12 degrees
Fractional positions:
Ac (0.166, 0.834, 0.000)
Ac (0.834, 0.166, 0.000)
La (0.000, 0.000, 0.500)
La (0.330, 0.670, 0.500)
La (0.670, 0.330, 0.500)
Pm (0.500, 0.500, 0.000)
Se (0.092, 0.416, 0.748)
Se (0.262, 0.262, 0.256)
Se (0.416, 0.092, 0.748)
Se (0.584, 0.908, 0.252)
Se (0.738, 0.738, 0.744)
Se (0.908, 0.584, 0.252)